The following is a DFT calculation (GGA-PBE) of crystalline LiPdPt2 at its relaxed geometry.

The structure in CIF format:
```
data_LiPdPt2
_cell_length_a 5.511
_cell_length_b 7.729
_cell_length_c 5.544
_cell_angle_alpha 90.00
_cell_angle_beta 90.00
_cell_angle_gamma 90.00
_symmetry_space_group_name_H-M 'I m m a'
_symmetry_Int_Tables_number 74
_symmetry_space_group_name_Hall '-I 2b 2'
loop_
_atom_site_label
_atom_site_type_symbol
_atom_site_fract_x
_atom_site_fract_y
_atom_site_fract_z
Li1 Li 0.250 0.250 0.250
Pd1 Pd 0.000 0.000 0.000
Pt1 Pt 0.000 0.000 0.500
Pt2 Pt 0.250 0.250 0.750
```

Computed properties:
Mass density in g/cm3: 14.2
Calculated formation energy in eV/atom: -0.4054
Total moment in μB per atom: 0.000

The following is a DFT calculation (GGA-PBE) of crystalline Li3Pd6Pt at its relaxed geometry.

The structure in CIF format:
```
data_Li3Pd6Pt
_cell_length_a 11.5872
_cell_length_b 11.5872
_cell_length_c 7.7114
_cell_angle_alpha 90.00
_cell_angle_beta 90.00
_cell_angle_gamma 120.00
_symmetry_space_group_name_H-M 'R -3'
_symmetry_Int_Tables_number 148
_symmetry_space_group_name_Hall '-R 3'
loop_
_atom_site_label
_atom_site_type_symbol
_atom_site_fract_x
_atom_site_fract_y
_atom_site_fract_z
Li1 Li 0.0368 0.8659 0.2513
Pd1 Pd 0.0207 0.7822 0.5611
Pd2 Pd 0.0732 0.8153 0.9454
Pt1 Pt 0.0000 0.0000 0.0000
Pt2 Pt 0.0000 0.0000 0.5000
```

Computed properties:
Mass density in g/cm3: 9.5
Calculated formation energy in eV/atom: -0.2294
Total moment in μB per atom: 0.000

The following is a DFT calculation (GGA-PBE) of crystalline Li4PdPt at its relaxed geometry.

The structure in CIF format:
```
data_Li4PdPt
_cell_length_a 6.783
_cell_length_b 6.783
_cell_length_c 6.783
_cell_angle_alpha 90.00
_cell_angle_beta 90.00
_cell_angle_gamma 90.00
_symmetry_space_group_name_H-M 'F -4 3 m'
_symmetry_Int_Tables_number 216
_symmetry_space_group_name_Hall 'F -4 2 3'
loop_
_atom_site_label
_atom_site_type_symbol
_atom_site_fract_x
_atom_site_fract_y
_atom_site_fract_z
Li1 Li 0.124 0.124 0.124
Pd1 Pd 0.000 0.000 0.500
Pt1 Pt 0.250 0.250 0.750
```

Computed properties:
Mass density in g/cm3: 7.0
Calculated formation energy in eV/atom: -0.2599
Total moment in μB per atom: 0.000

The following is a DFT calculation (GGA-PBE) of crystalline LiPd2Pt4 at its relaxed geometry.

The structure in CIF format:
```
data_LiPd2Pt4
_cell_length_a 5.403
_cell_length_b 7.948
_cell_length_c 10.698
_cell_angle_alpha 90.00
_cell_angle_beta 102.22
_cell_angle_gamma 90.00
_symmetry_space_group_name_H-M 'C 1 c 1'
_symmetry_Int_Tables_number 9
_symmetry_space_group_name_Hall 'C -2yc'
loop_
_atom_site_label
_atom_site_type_symbol
_atom_site_fract_x
_atom_site_fract_y
_atom_site_fract_z
Li1 Li 0.000 0.010 0.000
Pd1 Pd 0.092 0.465 0.246
Pd2 Pd 0.277 0.264 0.606
Pt1 Pt 0.001 0.473 0.981
Pt2 Pt 0.100 0.034 0.273
Pt3 Pt 0.295 0.232 0.115
Pt4 Pt 0.295 0.254 0.866
```

Computed properties:
Mass density in g/cm3: 14.8
Calculated formation energy in eV/atom: -0.0533
Total moment in μB per atom: 0.000

The following is a DFT calculation (GGA-PBE) of crystalline Li2PdPt at its relaxed geometry.

The structure in CIF format:
```
data_Li2PdPt
_cell_length_a 3.743
_cell_length_b 3.743
_cell_length_c 8.039
_cell_angle_alpha 90.00
_cell_angle_beta 90.00
_cell_angle_gamma 90.00
_symmetry_space_group_name_H-M 'I -4 m 2'
_symmetry_Int_Tables_number 119
_symmetry_space_group_name_Hall 'I -4 -2'
loop_
_atom_site_label
_atom_site_type_symbol
_atom_site_fract_x
_atom_site_fract_y
_atom_site_fract_z
Li1 Li 0.000 0.000 0.000
Li2 Li 0.000 0.500 0.250
Pd1 Pd 0.000 0.000 0.500
Pt1 Pt 0.000 0.500 0.750
```

Computed properties:
Mass density in g/cm3: 9.3
Calculated formation energy in eV/atom: -0.3986
Total moment in μB per atom: 0.000

The following is a DFT calculation (GGA-PBE) of crystalline LiPd12Pt7 at its relaxed geometry.

The structure in CIF format:
```
data_LiPd12Pt7
_cell_length_a 9.321
_cell_length_b 9.321
_cell_length_c 9.321
_cell_angle_alpha 90.00
_cell_angle_beta 90.00
_cell_angle_gamma 90.00
_symmetry_space_group_name_H-M 'I m -3'
_symmetry_Int_Tables_number 204
_symmetry_space_group_name_Hall '-I 2 2 3'
loop_
_atom_site_label
_atom_site_type_symbol
_atom_site_fract_x
_atom_site_fract_y
_atom_site_fract_z
Li1 Li 0.000 0.000 0.000
Pd1 Pd 0.000 0.142 0.261
Pt1 Pt 0.000 0.000 0.500
Pt2 Pt 0.250 0.250 0.250
```

Computed properties:
Mass density in g/cm3: 10.9
Calculated formation energy in eV/atom: 0.6020
Total moment in μB per atom: 0.000